TbY4Al | the Alexandria database | GGA-PBE | relaxed; DOS at the Fermi energy = 1.480 states/eV/atom; mass density = 4.983 Mg/m³; E_tot = -69.04 eV/cell; relative energy among the computed polymorphs = 81.4 meV per atom
1.0
4.417 -6.920 0.000
4.417 6.920 0.000
-2.022 0.000 5.904
Tb Y Al
2 8 2
Cartesian
2.901 5.571 4.428 Tb
3.912 -5.571 1.476 Tb
0.176 1.523 5.151 Y
2.615 2.539 2.668 Y
1.187 -1.523 2.199 Y
5.209 2.539 0.284 Y
1.604 -2.539 5.620 Y
5.626 1.523 3.704 Y
4.198 -2.539 3.236 Y
6.637 -1.523 0.752 Y
3.912 0.010 1.476 Al
2.901 -0.010 4.428 Al